Entry 1:
HfZnCu2 | Alexandria via LeMat-Bulk | GGA-PBE | relaxed; calculated formation energy = -0.09 eV/atom; density of states at the Fermi level = 2.81 states/eV/f.u.
1.0
3.054 0.000 0.000
0.000 3.054 0.000
0.000 0.000 6.436
Zn Hf Cu
1 1 2
direct
0.500 0.500 0.000
0.500 0.500 0.500
0.000 0.000 0.777
0.000 0.000 0.223

***

Entry 2:
Hf3Zn4Cu2 | Alexandria via LeMat-Bulk | GGA-PBE | relaxed; calculated formation energy = -0.13 eV/atom; density of states at the Fermi level = 3.31 states/eV/f.u.
1.0
-0.902 1.325 -4.200
0.516 -4.561 0.856
-7.842 0.261 1.767
Hf Zn Cu
3 4 2
direct
0.625 0.250 0.734
0.000 0.000 0.000
0.375 0.750 0.266
0.685 0.370 0.098
0.315 0.630 0.902
0.944 0.887 0.640
0.056 0.113 0.360
0.721 0.441 0.406
0.279 0.559 0.594

***

Entry 3:
HfZnCu | Alexandria via LeMat-Bulk | GGA-PBE | relaxed; calculated formation energy = -0.17 eV/atom; density of states at the Fermi level = 2.79 states/eV/f.u.
1.0
-1.268 -1.997 -1.758
2.647 -3.061 1.567
-3.825 0.747 1.911
Zn Hf Cu
1 1 1
direct
0.167 0.000 0.000
0.667 0.667 0.333
0.167 0.333 0.667

***

Entry 4:
HfZn2Cu9 | Alexandria via LeMat-Bulk | GGA-PBE | relaxed; calculated formation energy = -0.01 eV/atom; density of states at the Fermi level = 6.31 states/eV/f.u.
1.0
4.893 0.000 0.000
2.446 4.237 0.000
2.446 1.412 7.854
Hf Zn Cu
1 2 9
direct
0.000 0.000 0.000
0.856 0.856 0.431
0.144 0.144 0.569
0.666 0.666 0.001
0.334 0.334 0.999
0.500 0.500 0.500
0.412 0.412 0.256
0.919 0.412 0.256
0.412 0.919 0.256
0.588 0.588 0.744
0.588 0.081 0.744
0.081 0.588 0.744

***

Entry 5:
Hf3Zn3Cu | Alexandria via LeMat-Bulk | GGA-PBE | relaxed; calculated formation energy = -0.16 eV/atom; density of states at the Fermi level = 7.12 states/eV/f.u.
1.0
4.107 0.000 -0.896
-0.157 3.100 -0.720
-0.073 0.571 9.525
Hf Zn Cu
3 3 1
direct
0.300 0.800 0.601
0.704 0.204 0.407
0.996 0.996 0.992
0.141 0.641 0.282
0.860 0.360 0.720
0.566 0.566 0.133
0.433 0.433 0.866

***

Entry 6:
Hf2Zn3Cu3 | Alexandria via LeMat-Bulk | GGA-PBE | relaxed; calculated formation energy = 0.00 eV/atom; density of states at the Fermi level = 6.03 states/eV/f.u.
1.0
-3.800 -2.839 2.615
5.195 -2.230 5.129
1.202 4.173 6.278
Hf Zn Cu
4 6 6
direct
0.000 0.333 0.333
0.500 0.667 0.667
0.000 0.667 0.667
0.500 0.333 0.333
0.750 0.000 0.693
0.750 0.693 0.307
0.750 0.307 0.000
0.250 0.000 0.307
0.250 0.307 0.693
0.250 0.693 0.000
0.750 0.000 0.346
0.750 0.346 0.654
0.750 0.654 0.000
0.250 0.000 0.654
0.250 0.654 0.346
0.250 0.346 0.000

***

Entry 7:
Hf3Zn4Cu2 | Alexandria via LeMat-Bulk | GGA-PBE | relaxed; calculated formation energy = -0.18 eV/atom; density of states at the Fermi level = 7.53 states/eV/f.u.
1.0
4.341 0.000 0.000
-2.171 4.450 -1.871
0.000 -0.924 8.018
Hf Zn Cu
3 4 2
direct
0.669 0.338 0.662
0.000 0.000 0.000
0.331 0.662 0.338
0.717 0.434 0.052
0.283 0.566 0.948
0.945 0.890 0.613
0.055 0.110 0.387
0.605 0.211 0.273
0.395 0.789 0.727

***

Entry 8:
HfZnCu2 | Alexandria via LeMat-Bulk | GGA-PBE | relaxed; calculated formation energy = -0.01 eV/atom; density of states at the Fermi level = 3.40 states/eV/f.u.
1.0
3.392 0.000 0.000
0.000 4.267 0.000
0.000 0.000 4.267
Zn Hf Cu
1 1 2
direct
0.500 0.500 0.500
0.500 0.000 0.000
0.000 0.000 0.500
0.000 0.500 0.000

***

no.,calculated density (Mg/m³),magnetization (μB/f.u.),final energy (eV/atom)
1,10.264,0.00,-4.950
2,10.439,0.00,-4.920
3,10.619,0.00,-5.282
4,8.986,0.00,-4.119
5,10.749,0.00,-5.558
6,9.038,0.00,-4.499
7,10.412,0.00,-4.977
8,9.975,0.00,-4.863